Computed, not measured: YTl2Pb after structural relaxation at the PBE level of DFT.

Output
- Final energy: -3.9159 eV/atom

Geometry as CIF:
```
data_YTl2Pb
_cell_length_a 6.717
_cell_length_b 9.284
_cell_length_c 3.681
_cell_angle_alpha 90.00
_cell_angle_beta 90.00
_cell_angle_gamma 90.00
_symmetry_space_group_name_H-M 'C m m m'
_symmetry_Int_Tables_number 65
_symmetry_space_group_name_Hall '-C 2 2'
loop_
_atom_site_label
_atom_site_fract_x
_atom_site_fract_y
_atom_site_fract_z
Y1 0.000 0.000 0.000
Tl1 0.250 0.250 0.500
Pb1 0.000 0.500 0.000
```

Computed, not measured: PuPaCu2O8 after structural relaxation at the PBE level of DFT.

Output
- E_form (uncorrected): -1.917 eV/atom

Geometry as CIF:
```
data_PuPaCu2O8
_cell_length_a 6.698
_cell_length_b 6.698
_cell_length_c 7.001
_cell_angle_alpha 90.00
_cell_angle_beta 90.00
_cell_angle_gamma 90.00
_symmetry_space_group_name_H-M 'I -4 m 2'
_symmetry_Int_Tables_number 119
_symmetry_space_group_name_Hall 'I -4 -2'
loop_
_atom_site_label
_atom_site_fract_x
_atom_site_fract_y
_atom_site_fract_z
Pu1 0.000 0.000 0.000
Pa1 0.000 0.500 0.250
Cu1 0.000 0.000 0.500
Cu2 0.000 0.500 0.750
O1 0.000 0.187 0.300
O2 0.000 0.299 0.952
```

Computed, not measured: CsNdPbI6 after structural relaxation at the PBE level of DFT.

Output
- E_form (uncorrected): -1.126 eV/atom

Geometry as CIF:
```
data_CsNdPbI6
_cell_length_a 11.368
_cell_length_b 11.761
_cell_length_c 16.587
_cell_angle_alpha 90.00
_cell_angle_beta 90.00
_cell_angle_gamma 90.00
_symmetry_space_group_name_H-M 'I m m a'
_symmetry_Int_Tables_number 74
_symmetry_space_group_name_Hall '-I 2b 2'
loop_
_atom_site_label
_atom_site_fract_x
_atom_site_fract_y
_atom_site_fract_z
Cs1 0.000 0.250 0.068
Nd1 0.000 0.000 0.500
Pb1 0.250 0.250 0.750
I1 0.000 0.250 0.433
I2 0.000 0.250 0.838
I3 0.203 0.043 0.623
```

Computed, not measured: PmAuN after structural relaxation at the PBE level of DFT.

Output
- Distance to the lowest polymorph of the same formula: 0.00 eV/f.u.
- E_form (uncorrected): -0.903 eV/atom

Geometry as CIF:
```
data_PmAuN
_cell_length_a 3.577
_cell_length_b 3.577
_cell_length_c 8.193
_cell_angle_alpha 90.00
_cell_angle_beta 90.00
_cell_angle_gamma 90.00
_symmetry_space_group_name_H-M 'P 4/n m m'
_symmetry_Int_Tables_number 129
loop_
_symmetry_equiv_pos_as_xyz
'x,y,z'
'-x,-y,-z'
'-y+1/2,x,z'
'y+1/2,-x,-z'
'-x+1/2,-y+1/2,z'
'x+1/2,y+1/2,-z'
'y,-x+1/2,z'
'-y,x+1/2,-z'
'x+1/2,-y,-z'
'-x+1/2,y,z'
'-y,-x,-z'
'y,x,z'
'-x,y+1/2,-z'
'x,-y+1/2,z'
'y+1/2,x+1/2,-z'
'-y+1/2,-x+1/2,z'
loop_
_atom_site_label
_atom_site_fract_x
_atom_site_fract_y
_atom_site_fract_z
Pm1 0.250 0.250 0.157
Au1 0.250 0.250 0.584
N1 0.250 0.250 0.868
```

Computed, not measured: SmBe2Al after structural relaxation at the PBE level of DFT.

Output
- Final energy: -4.0937 eV/atom

Geometry as CIF:
```
data_SmBe2Al
_cell_length_a 3.9788
_cell_length_b 3.9788
_cell_length_c 14.9573
_cell_angle_alpha 90.00
_cell_angle_beta 90.00
_cell_angle_gamma 120.00
_symmetry_space_group_name_H-M 'R -3 m'
_symmetry_Int_Tables_number 166
_symmetry_space_group_name_Hall '-R 3 2"'
loop_
_atom_site_label
_atom_site_fract_x
_atom_site_fract_y
_atom_site_fract_z
Sm1 0.0000 0.0000 0.0000
Be1 0.0000 0.0000 0.1980
Al1 0.0000 0.0000 0.5000
```

Computed, not measured: Nd2SmCu2Si2 after structural relaxation at the PBE level of DFT.

Output
- E_form (uncorrected): -0.478 eV/atom

Geometry as CIF:
```
data_Nd2SmCu2Si2
_cell_length_a 4.1233
_cell_length_b 4.1233
_cell_length_c 33.4847
_cell_angle_alpha 90.00
_cell_angle_beta 90.00
_cell_angle_gamma 120.00
_symmetry_space_group_name_H-M 'R -3 m'
_symmetry_Int_Tables_number 166
_symmetry_space_group_name_Hall '-R 3 2"'
loop_
_atom_site_label
_atom_site_fract_x
_atom_site_fract_y
_atom_site_fract_z
Nd1 0.0000 0.0000 0.1192
Sm1 0.0000 0.0000 0.0000
Cu1 0.0000 0.0000 0.3939
Si1 0.0000 0.0000 0.2733
```

Computed, not measured: AcPm5NdTm2 after structural relaxation at the PBE level of DFT.

Output
- Final energy: -4.5335 eV/atom

Geometry as CIF:
```
data_AcPm5NdTm2
_cell_length_a 5.830
_cell_length_b 17.647
_cell_length_c 12.141
_cell_angle_alpha 90.00
_cell_angle_beta 90.00
_cell_angle_gamma 90.00
_symmetry_space_group_name_H-M 'C m c 21'
_symmetry_Int_Tables_number 36
_symmetry_space_group_name_Hall 'C 2c -2'
loop_
_atom_site_label
_atom_site_fract_x
_atom_site_fract_y
_atom_site_fract_z
Ac1 0.000 0.112 0.000
Pm1 0.000 0.078 0.340
Pm2 0.000 0.081 0.665
Pm3 0.000 0.269 0.797
Pm4 0.000 0.271 0.203
Pm5 0.000 0.441 0.648
Nd1 0.000 0.248 0.499
Tm1 0.000 0.392 0.999
Tm2 0.000 0.438 0.353
```

Computed, not measured: Zr2PW after structural relaxation at the PBE level of DFT.

Output
- Final energy: -8.9763 eV/atom

Geometry as CIF:
```
data_Zr2PW
_cell_length_a 4.374
_cell_length_b 4.374
_cell_length_c 7.547
_cell_angle_alpha 90.00
_cell_angle_beta 90.00
_cell_angle_gamma 90.00
_symmetry_space_group_name_H-M 'I 4/m m m'
_symmetry_Int_Tables_number 139
_symmetry_space_group_name_Hall '-I 4 2'
loop_
_atom_site_label
_atom_site_fract_x
_atom_site_fract_y
_atom_site_fract_z
Zr1 0.000 0.500 0.250
P1 0.000 0.000 0.000
W1 0.000 0.000 0.500
```

Computed, not measured: TiCrTcW after structural relaxation at the PBE level of DFT.

Output
- Final energy: -10.4313 eV/atom

Geometry as CIF:
```
data_TiCrTcW
_cell_length_a 6.143
_cell_length_b 6.143
_cell_length_c 6.143
_cell_angle_alpha 90.00
_cell_angle_beta 90.00
_cell_angle_gamma 90.00
_symmetry_space_group_name_H-M 'F -4 3 m'
_symmetry_Int_Tables_number 216
_symmetry_space_group_name_Hall 'F -4 2 3'
loop_
_atom_site_label
_atom_site_fract_x
_atom_site_fract_y
_atom_site_fract_z
Ti1 0.000 0.000 0.000
Cr1 0.250 0.250 0.750
Tc1 0.250 0.250 0.250
W1 0.000 0.000 0.500
```

Computed, not measured: Tm8AgIr2 after structural relaxation at the PBE level of DFT.

Output
- Distance to the lowest polymorph of the same formula: 0.00 eV/f.u.

Geometry as CIF:
```
data_Tm8AgIr2
_cell_length_a 17.383
_cell_length_b 4.834
_cell_length_c 6.927
_cell_angle_alpha 90.00
_cell_angle_beta 107.39
_cell_angle_gamma 90.00
_symmetry_space_group_name_H-M 'C 1 2/m 1'
_symmetry_Int_Tables_number 12
_symmetry_space_group_name_Hall '-C 2y'
loop_
_atom_site_label
_atom_site_fract_x
_atom_site_fract_y
_atom_site_fract_z
Tm1 0.035 0.000 0.273
Tm2 0.097 0.500 0.975
Tm3 0.173 0.500 0.464
Tm4 0.203 0.000 0.817
Ag1 0.000 0.500 0.500
Ir1 0.188 0.000 0.206
```

Computed, not measured: Al2FeTe after structural relaxation at the PBE level of DFT.

Output
- E_form (uncorrected): 0.317 eV/atom

Geometry as CIF:
```
data_Al2FeTe
_cell_length_a 5.279
_cell_length_b 7.796
_cell_length_c 3.420
_cell_angle_alpha 90.00
_cell_angle_beta 90.00
_cell_angle_gamma 90.00
_symmetry_space_group_name_H-M 'C m m m'
_symmetry_Int_Tables_number 65
_symmetry_space_group_name_Hall '-C 2 2'
loop_
_atom_site_label
_atom_site_fract_x
_atom_site_fract_y
_atom_site_fract_z
Al1 0.250 0.250 0.000
Fe1 0.000 0.000 0.500
Te1 0.000 0.500 0.500
```

Computed, not measured: MnFe3Se after structural relaxation at the PBE level of DFT.

Output
- Distance to the lowest polymorph of the same formula: 0.00 eV/f.u.
- E_form (uncorrected): 0.730 eV/atom

Geometry as CIF:
```
data_MnFe3Se
_cell_length_a 4.352
_cell_length_b 4.352
_cell_length_c 4.352
_cell_angle_alpha 90.00
_cell_angle_beta 90.00
_cell_angle_gamma 90.00
_symmetry_space_group_name_H-M 'P m -3 m'
_symmetry_Int_Tables_number 221
_symmetry_space_group_name_Hall '-P 4 2 3'
loop_
_atom_site_label
_atom_site_fract_x
_atom_site_fract_y
_atom_site_fract_z
Mn1 0.000 0.000 0.000
Fe1 0.000 0.500 0.500
Se1 0.500 0.500 0.500
```